Here is a relaxed SrNiIO2 crystal from Alexandria via LeMat-Bulk. Energies are from PBE+U.

volume = 28.53 A^3/atom
spin magnetization = 1.00 μB/f.u.
calculated total energy = -3.374 eV/atom

Unit cell a=4.5025 b=4.5025 c=7.0367 alpha=90.00 beta=90.00 gamma=90.00
With the nearest neighbours (Å) after each atom.
Space group P4/mmm (No. 123)
Asymmetric unit:
Sr (0.0000, 0.0000, 0.0000) x1  4 O 2.25
Ni (0.5000, 0.5000, 0.5000) x1  4 I 3.18
I (0.0000, 0.0000, 0.5000) x1  4 Ni 3.18, 2 Sr 3.52
O (0.0000, 0.5000, 0.0000) x2  2 Sr 2.25